An optimized crystal structure of CsPa3Se6. Source: the Alexandria database, functional GGA-PBE.

Calculated values
- formation energy without anion corrections (eV per atom) = -1.15
- SG = Cmmm, No. 65
- E_tot (eV/atom) = -6.1735
- mass density (g cm⁻³) = 6.4
- density of states at the Fermi level (states/eV per cell) = 11.12

```
CsPa3Se6
1.0
4.1905 0.0000 0.0000
0.0000 9.2795 -0.2287
0.0000 -3.1354 8.7368
Se Pa Cs
6 3 1
direct
0.0000 0.9317 0.6773
0.5000 0.6923 0.3077
0.0000 0.3227 0.0683
0.0000 0.0683 0.3227
0.0000 0.6773 0.9317
0.5000 0.3077 0.6923
0.5000 0.0000 0.5000
0.0000 0.0000 0.0000
0.5000 0.5000 0.0000
0.0000 0.5000 0.5000
```



An optimized crystal structure of Sm2Cu15Au2. Source: the Alexandria database, functional GGA-PBE.

Calculated values
- SG = R-3m, No. 166
- ΔE_f (eV per formula unit) = -2.70
- E_tot (eV/atom) = -4.2178
- mass density (g cm⁻³) = 9.8
- density of states at the Fermi level (states/eV per cell) = 8.03

```
Sm2Cu15Au2
1.0
-5.9390 0.1792 -2.8414
-3.2505 -3.1241 4.8012
-2.1776 5.3900 3.0957
Au Cu Sm
2 15 2
direct
0.1076 0.1076 0.1076
0.8924 0.8924 0.8924
0.2995 0.7005 0.0000
0.8402 0.3482 0.3482
0.0000 0.2995 0.7005
0.0000 0.7005 0.2995
0.3482 0.3482 0.8402
0.6518 0.1598 0.6518
0.6518 0.6518 0.1598
0.3482 0.8402 0.3482
0.5000 0.0000 0.0000
0.7005 0.0000 0.2995
0.7005 0.2995 0.0000
0.0000 0.5000 0.0000
0.2995 0.0000 0.7005
0.0000 0.0000 0.5000
0.1598 0.6518 0.6518
0.6543 0.6543 0.6543
0.3457 0.3457 0.3457
```



An optimized crystal structure of CsFeB2Cl8. Source: the Alexandria database, functional GGA-PBE.

Calculated values
- formation energy without anion corrections (eV per atom) = -0.92
- SG = R-3, No. 148
- E_tot (eV/atom) = -4.0377
- mass density (g cm⁻³) = 2.7

```
CsFeB2Cl8
1.0
6.0346 0.0000 0.0000
3.0173 5.2261 0.0000
3.0173 1.7420 9.5901
Cl B Fe Cs
8 2 1 1
direct
0.7328 0.0069 0.8441
0.8038 0.8038 0.5887
0.1962 0.1962 0.4113
0.0069 0.4161 0.8441
0.4161 0.7328 0.8441
0.5839 0.2672 0.1559
0.2672 0.9931 0.1559
0.9931 0.5839 0.1559
0.7385 0.7385 0.7844
0.2615 0.2615 0.2156
0.0000 0.0000 0.0000
0.5000 0.5000 0.5000
```



An optimized crystal structure of Ce6HgC3. Source: the Alexandria database, functional GGA-PBE.

Calculated values
- SG = P2_1/m, No. 11
- ΔE_f (eV per formula unit) = -1.65
- E_tot (eV/atom) = -6.5229
- mass density (g cm⁻³) = 8.6
- density of states at the Fermi level (states/eV per cell) = 32.22

```
Ce6HgC3
1.0
-1.4734 -2.2984 2.1987
1.1812 -8.0412 -7.6143
9.3950 -0.6644 5.6012
C Ce Hg
6 12 2
direct
0.2500 0.3707 0.5655
0.7500 0.4529 0.8589
0.7500 0.1336 0.0652
0.2500 0.5471 0.1411
0.2500 0.8664 0.9348
0.7500 0.6293 0.4345
0.2500 0.1795 0.2226
0.2500 0.6174 0.9386
0.7500 0.2389 0.4459
0.2500 0.3015 0.7626
0.7500 0.6985 0.2374
0.7500 0.3826 0.0614
0.2500 0.4750 0.3548
0.2500 0.7611 0.5541
0.7500 0.8205 0.7774
0.2500 0.0838 0.9005
0.7500 0.5250 0.6452
0.7500 0.9162 0.0995
0.2500 0.9615 0.3755
0.7500 0.0385 0.6245
```